[1]
## AsP2Cl (PBE)

Data for an optimized crystal structure of AsP2Cl.

ΔE to the lowest computed polymorph, meV per atom: 291.4
Energy relative to the elements, uncorrected, meV per atom: 294
DFT total energy, hartree per atom: -0.148

Cell lengths 3.917, 3.917, 9.066 Å; angles 90.00, 90.00, 129.49 degrees
Sites, in units of the cell vectors:
As (0.000, 0.000, 0.000)
P (0.000, 0.000, 0.365)
P (0.500, 0.500, 0.215)
Cl (0.500, 0.500, 0.804)

[2]
## Sm3Ga2Ni9Ge (PBE)

Data for an optimized crystal structure of Sm3Ga2Ni9Ge.

DFT total energy, hartree per atom: -0.194
Formation energy from the elements, eV/atom: -0.148

Cell lengths 6.058, 6.058, 8.322 Å; angles 90.00, 90.00, 120.00 degrees
Sites, in units of the cell vectors:
Sm (0.000, 0.000, 0.000)
Sm (0.333, 0.667, 0.686)
Sm (0.667, 0.333, 0.314)
Ga (0.333, 0.667, 0.190)
Ga (0.667, 0.333, 0.810)
Ni (0.000, 0.500, 0.000)
Ni (0.134, 0.267, 0.281)
Ni (0.134, 0.866, 0.281)
Ni (0.267, 0.134, 0.719)
Ni (0.500, 0.000, 0.000)
Ni (0.500, 0.500, 0.000)
Ni (0.733, 0.866, 0.281)
Ni (0.866, 0.134, 0.719)
Ni (0.866, 0.733, 0.719)
Ge (0.000, 0.000, 0.500)

[3]
## PaTl2PbO6 (PBE)

Data for an optimized crystal structure of PaTl2PbO6.

Energy relative to the elements, uncorrected, meV per atom: -1661
DFT total energy, hartree per atom: -0.236

Cell lengths 6.154, 8.723, 6.154 Å; angles 90.00, 90.00, 90.00 degrees
Sites, in units of the cell vectors:
Pa (0.250, 0.250, 0.250)
Pa (0.750, 0.750, 0.750)
Tl (0.250, 0.000, 0.749)
Tl (0.250, 0.500, 0.749)
Tl (0.750, 0.000, 0.251)
Tl (0.750, 0.500, 0.251)
Pb (0.250, 0.750, 0.250)
Pb (0.750, 0.250, 0.750)
O (0.002, 0.250, 0.002)
O (0.002, 0.250, 0.498)
O (0.250, 0.002, 0.251)
O (0.250, 0.498, 0.251)
O (0.498, 0.250, 0.002)
O (0.498, 0.250, 0.498)
O (0.502, 0.750, 0.502)
O (0.502, 0.750, 0.998)
O (0.750, 0.502, 0.749)
O (0.750, 0.998, 0.749)
O (0.998, 0.750, 0.502)
O (0.998, 0.750, 0.998)

[4]
## Tb3Er6Tm2Th (PBE)

Data for an optimized crystal structure of Tb3Er6Tm2Th.

DFT total energy, hartree per atom: -0.176
Formation energy from the elements, eV/atom: 0.021

Cell lengths 6.105, 6.105, 11.679 Å; angles 95.01, 95.01, 119.98 degrees
Sites, in units of the cell vectors:
Tb (0.000, 0.000, 0.000)
Tb (0.333, 0.667, 0.000)
Tb (0.667, 0.333, 0.000)
Er (0.086, 0.417, 0.252)
Er (0.253, 0.253, 0.748)
Er (0.417, 0.086, 0.252)
Er (0.583, 0.914, 0.748)
Er (0.747, 0.747, 0.252)
Er (0.914, 0.583, 0.748)
Tm (0.167, 0.833, 0.500)
Tm (0.833, 0.167, 0.500)
Th (0.500, 0.500, 0.500)

[5]
## Cd2AgOs (PBE)

Data for an optimized crystal structure of Cd2AgOs.

ΔE to the lowest computed polymorph, meV per atom: 134.4
DFT total energy, hartree per atom: -0.129
Formation energy from the elements, eV/atom: 0.479

Cell lengths 2.846, 2.846, 10.083 Å; angles 90.00, 90.00, 117.21 degrees
Sites, in units of the cell vectors:
Cd (0.000, 0.000, 0.000)
Cd (0.500, 0.500, 0.273)
Ag (0.500, 0.500, 0.749)
Os (0.000, 0.000, 0.513)

[6]
## AlCr3 (PBE)

Data for an optimized crystal structure of AlCr3.

DFT total energy, hartree per atom: -0.293
Formation energy from the elements, eV/atom: 0.170

Cell lengths 4.724, 4.724, 2.481 Å; angles 90.00, 90.00, 116.41 degrees
Sites, in units of the cell vectors:
Al (0.000, 0.000, 0.000)
Cr (0.000, 0.500, 0.500)
Cr (0.500, 0.000, 0.500)
Cr (0.500, 0.500, 0.000)

[7]
## La3Ag2Au2 (PBE)

Data for an optimized crystal structure of La3Ag2Au2.

DFT total energy, hartree per atom: -0.159
Formation energy from the elements, eV/atom: -0.475

Cell lengths 4.371, 5.870, 8.169 Å; angles 96.31, 90.19, 111.82 degrees
Sites, in units of the cell vectors:
La (0.000, 0.000, 0.000)
La (0.354, 0.709, 0.346)
La (0.646, 0.291, 0.654)
Ag (0.292, 0.585, 0.902)
Ag (0.708, 0.415, 0.098)
Au (0.078, 0.159, 0.369)
Au (0.922, 0.841, 0.631)

[8]
## Y3InCl (PBE)

Data for an optimized crystal structure of Y3InCl.

ΔE to the lowest computed polymorph, meV per atom: 0.0
Energy relative to the elements, uncorrected, meV per atom: -548
DFT total energy, hartree per atom: -0.196

Cell lengths 5.144, 5.144, 5.144 Å; angles 90.00, 90.00, 90.00 degrees
Sites, in units of the cell vectors:
Y (0.000, 0.000, 0.500)
Y (0.000, 0.500, 0.000)
Y (0.500, 0.000, 0.000)
In (0.500, 0.500, 0.500)
Cl (0.000, 0.000, 0.000)

[9]
## Pr12Hg3H5 (PBE)

Data for an optimized crystal structure of Pr12Hg3H5.

DFT total energy, hartree per atom: -0.147

Cell lengths 14.053, 14.053, 14.053 Å; angles 109.47, 109.47, 109.47 degrees
Sites, in units of the cell vectors:
Pr (0.015, 0.207, 0.109)
Pr (0.015, 0.308, 0.906)
Pr (0.094, 0.609, 0.402)
Pr (0.094, 0.985, 0.692)
Pr (0.098, 0.707, 0.692)
Pr (0.098, 0.891, 0.406)
Pr (0.109, 0.015, 0.207)
Pr (0.109, 0.594, 0.902)
Pr (0.192, 0.207, 0.598)
Pr (0.192, 0.485, 0.594)
Pr (0.207, 0.109, 0.015)
Pr (0.207, 0.598, 0.192)
Pr (0.293, 0.308, 0.902)
Pr (0.293, 0.485, 0.391)
Pr (0.308, 0.902, 0.293)
Pr (0.308, 0.906, 0.015)
Pr (0.391, 0.293, 0.485)
Pr (0.391, 0.598, 0.906)
Pr (0.402, 0.094, 0.609)
Pr (0.402, 0.808, 0.793)
Pr (0.406, 0.098, 0.891)
Pr (0.406, 0.808, 0.515)
Pr (0.485, 0.391, 0.293)
Pr (0.485, 0.594, 0.192)
Pr (0.515, 0.406, 0.808)
Pr (0.515, 0.609, 0.707)
Pr (0.594, 0.192, 0.485)
Pr (0.594, 0.902, 0.109)
Pr (0.598, 0.192, 0.207)
Pr (0.598, 0.906, 0.391)
Pr (0.609, 0.402, 0.094)
Pr (0.609, 0.707, 0.515)
Pr (0.692, 0.094, 0.985)
Pr (0.692, 0.098, 0.707)
Pr (0.707, 0.515, 0.609)
Pr (0.707, 0.692, 0.098)
Pr (0.793, 0.402, 0.808)
Pr (0.793, 0.891, 0.985)
Pr (0.808, 0.515, 0.406)
Pr (0.808, 0.793, 0.402)
Pr (0.891, 0.406, 0.098)
Pr (0.891, 0.985, 0.793)
Pr (0.902, 0.109, 0.594)
Pr (0.902, 0.293, 0.308)
Pr (0.906, 0.015, 0.308)
Pr (0.906, 0.391, 0.598)
Pr (0.985, 0.692, 0.094)
Pr (0.985, 0.793, 0.891)
Hg (0.125, 0.250, 0.375)
Hg (0.125, 0.375, 0.750)
Hg (0.250, 0.375, 0.125)
Hg (0.250, 0.875, 0.625)
Hg (0.375, 0.125, 0.250)
Hg (0.375, 0.750, 0.125)
Hg (0.625, 0.250, 0.875)
Hg (0.625, 0.875, 0.750)
Hg (0.750, 0.125, 0.375)
Hg (0.750, 0.625, 0.875)
Hg (0.875, 0.625, 0.250)
Hg (0.875, 0.750, 0.625)
H (0.000, 0.000, 0.000)
H (0.000, 0.000, 0.500)
H (0.000, 0.500, 0.000)
H (0.000, 0.500, 0.500)
H (0.125, 0.750, 0.875)
H (0.125, 0.875, 0.250)
H (0.250, 0.125, 0.875)
H (0.250, 0.625, 0.375)
H (0.375, 0.250, 0.625)
H (0.375, 0.625, 0.750)
H (0.500, 0.000, 0.000)
H (0.500, 0.000, 0.500)
H (0.500, 0.500, 0.000)
H (0.500, 0.500, 0.500)
H (0.625, 0.375, 0.250)
H (0.625, 0.750, 0.375)
H (0.750, 0.375, 0.625)
H (0.750, 0.875, 0.125)
H (0.875, 0.125, 0.750)
H (0.875, 0.250, 0.125)

[10]
## K10Na4Hg (PBE)

Data for an optimized crystal structure of K10Na4Hg.

DFT total energy, hartree per atom: -0.039
Formation energy from the elements, eV/atom: 0.053

Cell lengths 11.192, 11.192, 11.192 Å; angles 99.74, 99.74, 131.43 degrees
Sites, in units of the cell vectors:
K (0.048, 0.333, 0.906)
K (0.142, 0.048, 0.715)
K (0.250, 0.750, 0.500)
K (0.333, 0.427, 0.285)
K (0.427, 0.142, 0.094)
K (0.573, 0.858, 0.906)
K (0.667, 0.573, 0.715)
K (0.750, 0.250, 0.500)
K (0.858, 0.952, 0.285)
K (0.952, 0.667, 0.094)
Na (0.202, 0.399, 0.601)
Na (0.399, 0.798, 0.197)
Na (0.601, 0.202, 0.803)
Na (0.798, 0.601, 0.399)
Hg (0.000, 0.000, 0.000)

[11]
## CaYW (PBE)

Data for an optimized crystal structure of CaYW.

ΔE to the lowest computed polymorph, meV per atom: 0.0
DFT total energy, hartree per atom: -0.237
Formation energy from the elements, eV/atom: 0.694

Cell lengths 8.258, 8.160, 3.130 Å; angles 80.77, 77.27, 21.97 degrees
Sites, in units of the cell vectors:
Ca (0.000, 0.000, 0.000)
Y (0.287, 0.287, 0.713)
W (0.650, 0.650, 0.350)

[12]
## LaEuGdY (PBE)

Data for an optimized crystal structure of LaEuGdY.

DFT total energy, hartree per atom: -0.323
Formation energy from the elements, eV/atom: 0.145

Cell lengths 5.864, 5.864, 5.864 Å; angles 60.00, 60.00, 60.00 degrees
Sites, in units of the cell vectors:
La (0.000, 0.000, 0.000)
Eu (0.250, 0.250, 0.250)
Gd (0.750, 0.750, 0.750)
Y (0.500, 0.500, 0.500)

[13]
## HoErTmSc (PBE)

Data for an optimized crystal structure of HoErTmSc.

ΔE to the lowest computed polymorph, meV per atom: 83.3
DFT total energy, hartree per atom: -0.179
Formation energy from the elements, eV/atom: 0.127

Cell lengths 5.490, 5.490, 5.490 Å; angles 60.00, 60.00, 60.00 degrees
Sites, in units of the cell vectors:
Ho (0.000, 0.000, 0.000)
Er (0.500, 0.500, 0.500)
Tm (0.750, 0.750, 0.750)
Sc (0.250, 0.250, 0.250)

[14]
## Sc6ZnIn5 (PBE)

Data for an optimized crystal structure of Sc6ZnIn5.

DFT total energy, hartree per atom: -0.177
Formation energy from the elements, eV/atom: -0.411

Cell lengths 7.232, 7.232, 8.381 Å; angles 90.00, 90.00, 143.14 degrees
Sites, in units of the cell vectors:
Sc (0.000, 0.000, 0.243)
Sc (0.000, 0.000, 0.757)
Sc (0.335, 0.665, 0.245)
Sc (0.335, 0.665, 0.755)
Sc (0.665, 0.335, 0.245)
Sc (0.665, 0.335, 0.755)
Zn (0.500, 0.500, 0.000)
In (0.164, 0.836, 0.000)
In (0.167, 0.833, 0.500)
In (0.500, 0.500, 0.500)
In (0.833, 0.167, 0.500)
In (0.836, 0.164, 0.000)

[15]
## Nd2PuTl3Se6 (PBE)

Data for an optimized crystal structure of Nd2PuTl3Se6.

Energy relative to the elements, uncorrected, meV per atom: -1275
DFT total energy, hartree per atom: -0.206

Cell lengths 7.462, 7.462, 8.107 Å; angles 98.82, 98.82, 120.01 degrees
Sites, in units of the cell vectors:
Nd (0.167, 0.833, 0.000)
Nd (0.833, 0.167, 0.000)
Pu (0.500, 0.500, 0.000)
Tl (0.000, 0.000, 0.500)
Tl (0.332, 0.668, 0.500)
Tl (0.668, 0.332, 0.500)
Se (0.102, 0.430, 0.791)
Se (0.242, 0.242, 0.210)
Se (0.430, 0.102, 0.791)
Se (0.570, 0.898, 0.209)
Se (0.758, 0.758, 0.790)
Se (0.898, 0.570, 0.209)

[16]
## Cs3Ag2I2F4 (PBE)

Data for an optimized crystal structure of Cs3Ag2I2F4.

Energy relative to the elements, uncorrected, meV per atom: -1569
DFT total energy, hartree per atom: -0.121

Cell lengths 13.921, 13.921, 13.921 Å; angles 159.97, 159.97, 28.48 degrees
Sites, in units of the cell vectors:
Cs (0.000, 0.000, 0.000)
Cs (0.146, 0.146, 0.000)
Cs (0.854, 0.854, 0.000)
Ag (0.408, 0.408, 0.000)
Ag (0.592, 0.592, 0.000)
I (0.300, 0.300, 0.000)
I (0.700, 0.700, 0.000)
F (0.076, 0.576, 0.500)
F (0.424, 0.924, 0.500)
F (0.576, 0.076, 0.500)
F (0.924, 0.424, 0.500)

[17]
## NdSm2As (PBE)

Data for an optimized crystal structure of NdSm2As.

ΔE to the lowest computed polymorph, meV per atom: 10.1
DFT total energy, hartree per atom: -0.196
Formation energy from the elements, eV/atom: -0.612

Cell lengths 9.874, 9.874, 9.874 Å; angles 23.06, 23.06, 23.06 degrees
Sites, in units of the cell vectors:
Nd (0.000, 0.000, 0.000)
Sm (0.228, 0.228, 0.228)
Sm (0.772, 0.772, 0.772)
As (0.500, 0.500, 0.500)

[18]
## Dy4Cd2InRh (PBE)

Data for an optimized crystal structure of Dy4Cd2InRh.

DFT total energy, hartree per atom: -0.157
Formation energy from the elements, eV/atom: -0.489

Cell lengths 8.895, 8.895, 8.895 Å; angles 34.00, 34.00, 34.00 degrees
Sites, in units of the cell vectors:
Dy (0.114, 0.114, 0.114)
Dy (0.368, 0.368, 0.368)
Dy (0.632, 0.632, 0.632)
Dy (0.886, 0.886, 0.886)
Cd (0.242, 0.242, 0.242)
Cd (0.758, 0.758, 0.758)
In (0.500, 0.500, 0.500)
Rh (0.000, 0.000, 0.000)